1.
Compound: Tb2GdCo
Source: the Alexandria database
Functional: PBE
Structure: relaxed

Cell lengths 3.7270, 3.7270, 27.7347 Å; angles 90.00, 90.00, 120.00 degrees
Closest atoms and distances in Å follow each position.
Space group R-3m (No. 166, hexagonal axes)
Asymmetric unit:
Tb 0.0000 0.0000 0.2234 x6  3 Co 2.67
Gd 0.0000 0.0000 0.0000 x3  6 Gd 3.73, 6 Tb 3.73
Co 0.0000 0.0000 0.5000 x3  6 Tb 2.67

Summary:
Energy (eV per atom): -7.5998
Magnetic moment (μB/f.u.): 7.89
Formation enthalpy at 0 K (eV/atom): 0.012


2.
Compound: Sm4TlCuAg2
Source: the Alexandria database
Functional: PBE
Structure: relaxed

Cell lengths 5.2635, 5.2635, 25.6730 Å; angles 90.00, 90.00, 120.00 degrees
Closest atoms and distances in Å follow each position.
Space group R-3m (No. 166, hexagonal axes)
Asymmetric unit:
Sm 0.0000 0.0000 0.1175 x6  1 Cu 3.02, 4 Ag 3.13-3.27, 3 Tl 3.29
Sm 0.0000 0.0000 0.3687 x6  3 Cu 3.17, 4 Ag 3.18-3.33, 1 Tl 3.37, 3 Sm 3.54
Tl 0.0000 0.0000 0.5000 x3  8 Sm 3.29-3.37, 6 Ag 3.64
Cu 0.0000 0.0000 0.0000 x3  8 Sm 3.02-3.17
Ag 0.0000 0.0000 0.2449 x6  8 Sm 3.13-3.33

Summary:
Energy (eV per atom): -4.1488
Magnetic moment (μB/f.u.): 0.00
Formation enthalpy at 0 K (eV/atom): -0.269


3.
Compound: SrAcLaSm
Source: the Alexandria database
Functional: PBE
Structure: relaxed

Cell lengths 8.7181, 8.7181, 8.7181 Å; angles 90.00, 90.00, 90.00 degrees
Closest atoms and distances in Å follow each position.
Space group F-43m (No. 216)
Asymmetric unit:
Sr 0.0000 0.0000 0.0000 x4  4 La 3.78, 4 Sm 3.78
Ac 0.0000 0.0000 0.5000 x4  4 La 3.78, 4 Sm 3.78
La 0.2500 0.2500 0.2500 x4  4 Ac 3.78, 4 Sr 3.78
Sm 0.2500 0.2500 0.7500 x4  4 Ac 3.78, 4 Sr 3.78

Summary:
Energy (eV per atom): -3.6636
Magnetic moment (μB/f.u.): 0.73
Formation enthalpy at 0 K (eV/atom): 0.196


4.
Compound: TaIn2Tc
Source: the Alexandria database
Functional: PBE
Structure: relaxed

Cell lengths 3.3399, 4.8602, 9.3360 Å; angles 90.00, 90.00, 90.00 degrees
Closest atoms and distances in Å follow each position.
Space group Cmmm (No. 65)
Asymmetric unit:
Ta 0.0000 0.0000 0.0000 x2  4 Ta 2.95, 4 In 2.96
In 0.0000 0.5000 0.2617 x4  2 Tc 2.78, 4 In 2.95, 2 Ta 2.96
Tc 0.0000 0.0000 0.5000 x2  4 In 2.78, 4 Tc 2.95

Summary:
Energy (eV per atom): -6.5207
Magnetic moment (μB/f.u.): 0.83
Formation enthalpy at 0 K (eV/atom): 0.403


5.
Compound: NaMg2TaAs
Source: the Alexandria database
Functional: PBE
Structure: relaxed

Cell lengths 4.7425, 4.7425, 5.1890 Å; angles 90.00, 90.00, 90.00 degrees
Closest atoms and distances in Å follow each position.
Space group P4/mmm (No. 123)
Asymmetric unit:
Na 0.0000 0.0000 0.0000 x1  4 Mg 2.37, 2 Ta 2.59
Mg 0.0000 0.5000 0.0000 x2  2 Na 2.37
Ta 0.0000 0.0000 0.5000 x1  2 Na 2.59
As 0.5000 0.5000 0.5000 x1  4 Ta 3.35, 8 Mg 3.51

Summary:
Energy (eV per atom): -2.7131
Magnetic moment (μB/f.u.): 0.00
Formation enthalpy at 0 K (eV/atom): 1.489


6.
Compound: Cr4Os3
Source: the Alexandria database
Functional: PBE
Structure: relaxed

Cell lengths 5.0160, 5.0160, 4.4351 Å; angles 90.00, 90.00, 120.00 degrees
Closest atoms and distances in Å follow each position.
Space group P6/mmm (No. 191)
Asymmetric unit:
Cr 0.0000 0.0000 0.2256 x2  1 Cr 2.00
Cr 0.3333 0.6667 0.0000 x2  6 Os 2.65, 3 Cr 2.90
Os 0.0000 0.5000 0.5000 x3  4 Os 2.51, 8 Cr 2.65-2.79

Summary:
Energy (eV per atom): -9.9910
Magnetic moment (μB/f.u.): 0.32
Formation enthalpy at 0 K (eV/atom): 0.321


7.
Compound: Y3BiO7
Source: the Alexandria database
Functional: PBE
Structure: relaxed

Cell lengths 7.6012, 10.7622, 7.6993 Å; angles 90.00, 90.00, 90.00 degrees
Closest atoms and distances in Å follow each position.
Space group Cmcm (No. 63)
Asymmetric unit:
Y 0.0000 0.0000 0.0000 x4  8 O 2.39-2.60
Y 0.2339 0.2645 0.2500 x8  7 O 2.25-2.46
Bi 0.0000 0.5000 0.0000 x4  6 O 2.11-2.14
O 0.0000 0.1317 0.7500 x4  4 Y 2.31-2.39
O 0.0000 0.1370 0.2500 x4  4 Y 2.25-2.42
O 0.0000 0.4141 0.2500 x4  2 Bi 2.14
O 0.2099 0.3731 0.5297 x16  1 Bi 2.11, 1 Y 2.29

Summary:
Energy (eV per atom): -7.9846
Magnetic moment (μB/f.u.): 0.00


8.
Compound: NiPd2Se2
Source: the Alexandria database
Functional: PBE
Structure: relaxed

Cell lengths 6.9572, 6.9572, 3.4766 Å; angles 90.00, 90.00, 90.00 degrees
Closest atoms and distances in Å follow each position.
Space group P4/mbm (No. 127)
Asymmetric unit:
Ni 0.0000 0.0000 0.0000 x2  4 Pd 2.68
Pd 0.1421 0.3579 0.0000 x4  6 Se 2.55-2.78, 2 Ni 2.68, 1 Pd 2.80
Se 0.1686 0.6686 0.5000 x4  6 Pd 2.55-2.78

Summary:
Energy (eV per atom): -4.5030
Magnetic moment (μB/f.u.): 0.08


9.
Compound: Sc2Tl3CuS6
Source: the Alexandria database
Functional: PBE
Structure: relaxed

Cell lengths 6.7421, 11.1410, 7.7087 Å; angles 90.00, 109.83, 90.00 degrees
Closest atoms and distances in Å follow each position.
Space group C2/m (No. 12)
Asymmetric unit:
Sc 0.0000 0.1625 0.0000 x4  6 S 2.57-2.69
Tl 0.0000 0.0000 0.5000 x2  6 S 3.02-3.12
Tl 0.0000 0.3232 0.5000 x4  6 S 3.06-3.31
Cu 0.0000 0.5000 0.0000 x2  4 S 2.36
S 0.2150 0.3445 0.1739 x8  1 Cu 2.36, 1 Sc 2.59
S 0.2205 0.0000 0.2186 x4  2 Sc 2.57

Summary:
Energy (eV per atom): -4.9334
Magnetic moment (μB/f.u.): 0.00


10.
Compound: BeHgSb2
Source: the Alexandria database
Functional: PBE
Structure: relaxed

Cell lengths 3.9522, 5.4881, 8.3347 Å; angles 90.00, 90.00, 90.00 degrees
Closest atoms and distances in Å follow each position.
Space group Cmm2 (No. 35)
Asymmetric unit:
Be 0.0000 0.0000 0.0000 x2  2 Sb 2.53, 2 Hg 2.57
Hg 0.0000 0.5000 0.8020 x2  2 Be 2.57
Sb 0.0000 0.0000 0.5216 x2  2 Hg 3.06, 6 Sb 3.38-3.40
Sb 0.0000 0.5000 0.1897 x2  2 Be 2.53

Summary:
Energy (eV per atom): -2.6604
Magnetic moment (μB/f.u.): 0.00


11.
Compound: AcCdGaPb
Source: the Alexandria database
Functional: PBE
Structure: relaxed

Cell lengths 7.7138, 7.7138, 7.7138 Å; angles 90.00, 90.00, 90.00 degrees
Closest atoms and distances in Å follow each position.
Space group F-43m (No. 216)
Asymmetric unit:
Ac 0.0000 0.0000 0.0000 x4  4 Cd 3.34, 4 Ga 3.34
Cd 0.2500 0.2500 0.7500 x4  4 Ac 3.34, 4 Pb 3.34
Ga 0.2500 0.2500 0.2500 x4  4 Ac 3.34, 4 Pb 3.34
Pb 0.0000 0.0000 0.5000 x4  4 Cd 3.34, 4 Ga 3.34

Summary:
Energy (eV per atom): -3.1932
Magnetic moment (μB/f.u.): 0.00
Formation enthalpy at 0 K (eV/atom): -0.254


12.
Compound: Er5Hg2Ir
Source: the Alexandria database
Functional: PBE
Structure: relaxed

Cell lengths 5.6312, 12.2085, 12.5963 Å; angles 90.00, 90.00, 90.00 degrees
Closest atoms and distances in Å follow each position.
Space group Cmcm (No. 63)
Asymmetric unit:
Er 0.0000 0.0767 0.1040 x8  1 Ir 2.67
Er 0.0000 0.3760 0.0682 x8  1 Ir 2.87, 2 Hg 2.99
Er 0.0000 0.3881 0.7500 x4  2 Hg 2.99, 2 Ir 3.19
Hg 0.0000 0.1783 0.6269 x8  5 Er 2.99-3.16, 1 Hg 3.10
Ir 0.0000 0.2348 0.2500 x4  4 Er 2.67-2.87

Summary:
Energy (eV per atom): -4.3096
Magnetic moment (μB/f.u.): 0.20
Formation enthalpy at 0 K (eV/atom): -0.275